Entry 1:
This record from Alexandria describes crystalline K2Te2N at its relaxed geometry. The functional is GGA-PBE.

Geometry as CIF:
```
data_K2Te2N
_space_group_name_H-M_alt 'P 4/m b m'
_space_group_IT_number 127
_space_group_name_Hall '-P 4 2ab'
_cell_length_a 7.5803
_cell_length_b 7.5803
_cell_length_c 5.9149
_cell_angle_alpha 90.00
_cell_angle_beta 90.00
_cell_angle_gamma 90.00
loop_
_atom_site_label
_atom_site_type_symbol
_atom_site_fract_x
_atom_site_fract_y
_atom_site_fract_z
K1 K 0.1842 0.3158 0.0000
Te1 Te 0.1270 0.6270 0.5000
N1 N 0.0000 0.0000 0.0000
```

Output
The value obtained for the energy above the most stable polymorph in this dataset is 126 meV per atom.

=====

Entry 2:
This record from Alexandria describes crystalline K3Te2N2 at its relaxed geometry. The functional is GGA-PBE.

Geometry as CIF:
```
data_K3Te2N2
_space_group_name_H-M_alt 'C 1 2/m 1'
_space_group_IT_number 12
_space_group_name_Hall '-C 2y'
_cell_length_a 15.0901
_cell_length_b 5.7935
_cell_length_c 6.8702
_cell_angle_alpha 90.00
_cell_angle_beta 114.28
_cell_angle_gamma 90.00
loop_
_atom_site_label
_atom_site_type_symbol
_atom_site_fract_x
_atom_site_fract_y
_atom_site_fract_z
K1 K 0.0000 0.0000 0.0000
K2 K 0.2065 0.5000 0.7110
Te1 Te 0.1346 0.5000 0.1454
N1 N 0.0020 0.0000 0.5830
```

=====

Entry 3:
This record from Alexandria describes crystalline KTe2N2 at its relaxed geometry. The functional is GGA-PBE.

Geometry as CIF:
```
data_KTe2N2
_space_group_name_H-M_alt 'P 4/m m m'
_space_group_IT_number 123
_space_group_name_Hall '-P 4 2'
_cell_length_a 6.8690
_cell_length_b 6.8690
_cell_length_c 5.5657
_cell_angle_alpha 90.00
_cell_angle_beta 90.00
_cell_angle_gamma 90.00
loop_
_atom_site_label
_atom_site_type_symbol
_atom_site_fract_x
_atom_site_fract_y
_atom_site_fract_z
K1 K 0.0000 0.0000 0.0000
Te1 Te 0.0000 0.5000 0.0000
N1 N 0.0000 0.0000 0.5000
N2 N 0.5000 0.5000 0.5000
```

Output
The value obtained for the energy above the most stable polymorph in this dataset is 1240 meV per atom.

=====

Entry 4:
This record from Alexandria describes crystalline KTe3N at its relaxed geometry. The functional is GGA-PBE.

Geometry as CIF:
```
data_KTe3N
_space_group_name_H-M_alt 'P m -3 m'
_space_group_IT_number 221
_space_group_name_Hall '-P 4 2 3'
_cell_length_a 6.1260
_cell_length_b 6.1260
_cell_length_c 6.1260
_cell_angle_alpha 90.00
_cell_angle_beta 90.00
_cell_angle_gamma 90.00
loop_
_atom_site_label
_atom_site_type_symbol
_atom_site_fract_x
_atom_site_fract_y
_atom_site_fract_z
K1 K 0.0000 0.0000 0.0000
Te1 Te 0.0000 0.0000 0.5000
N1 N 0.5000 0.5000 0.5000
```

Output
The value obtained for the energy above the most stable polymorph in this dataset is 1415 meV per atom.

=====

Entry 5:
This record from Alexandria describes crystalline K3TeN at its relaxed geometry. The functional is GGA-PBE.

Geometry as CIF:
```
data_K3TeN
_space_group_name_H-M_alt 'P m -3 m'
_space_group_IT_number 221
_space_group_name_Hall '-P 4 2 3'
_cell_length_a 5.4746
_cell_length_b 5.4746
_cell_length_c 5.4746
_cell_angle_alpha 90.00
_cell_angle_beta 90.00
_cell_angle_gamma 90.00
loop_
_atom_site_label
_atom_site_type_symbol
_atom_site_fract_x
_atom_site_fract_y
_atom_site_fract_z
K1 K 0.0000 0.0000 0.5000
Te1 Te 0.5000 0.5000 0.5000
N1 N 0.0000 0.0000 0.0000
```

Output
The value obtained for the energy above the most stable polymorph in this dataset is 0 meV per atom.

=====

Entry 6:
This record from Alexandria describes crystalline KTeN at its relaxed geometry. The functional is GGA-PBE.

Geometry as CIF:
```
data_KTeN
_space_group_name_H-M_alt 'C 1 2/m 1'
_space_group_IT_number 12
_space_group_name_Hall '-C 2y'
_cell_length_a 10.8811
_cell_length_b 5.8439
_cell_length_c 6.6939
_cell_angle_alpha 90.00
_cell_angle_beta 112.49
_cell_angle_gamma 90.00
loop_
_atom_site_label
_atom_site_type_symbol
_atom_site_fract_x
_atom_site_fract_y
_atom_site_fract_z
K1 K 0.1164 0.0000 0.3123
Te1 Te 0.2386 0.0000 0.9165
N1 N 0.0550 0.5000 0.5194
```

Output
The value obtained for the energy above the most stable polymorph in this dataset is 0 meV per atom.

=====

Entry 7:
This record from Alexandria describes crystalline K5Te2N2 at its relaxed geometry. The functional is GGA-PBE.

Geometry as CIF:
```
data_K5Te2N2
_space_group_name_H-M_alt 'C 1 2/m 1'
_space_group_IT_number 12
_space_group_name_Hall '-C 2y'
_cell_length_a 19.5621
_cell_length_b 6.0502
_cell_length_c 6.9066
_cell_angle_alpha 90.00
_cell_angle_beta 105.53
_cell_angle_gamma 90.00
loop_
_atom_site_label
_atom_site_type_symbol
_atom_site_fract_x
_atom_site_fract_y
_atom_site_fract_z
K1 K 0.0000 0.0000 0.0000
K2 K 0.1300 0.5000 0.4260
K3 K 0.2237 0.0000 0.7892
Te1 Te 0.1826 0.0000 0.2458
N1 N 0.0127 0.5000 0.0865
```

=====

Entry 8:
This record from Alexandria describes crystalline K7TeN12 at its relaxed geometry. The functional is GGA-PBE.

Geometry as CIF:
```
data_K7TeN12
_space_group_name_H-M_alt 'R -3'
_space_group_IT_number 148
_space_group_name_Hall '-R 3'
_cell_length_a 14.7542
_cell_length_b 14.7542
_cell_length_c 6.9816
_cell_angle_alpha 90.00
_cell_angle_beta 90.00
_cell_angle_gamma 120.00
loop_
_atom_site_label
_atom_site_type_symbol
_atom_site_fract_x
_atom_site_fract_y
_atom_site_fract_z
K1 K 0.0000 0.0000 0.0000
K2 K 0.0641 0.2506 0.6478
Te1 Te 0.0000 0.0000 0.5000
N1 N 0.0345 0.2607 0.2169
N2 N 0.0458 0.2447 0.0563
```

=====

Entry 9:
This record from Alexandria describes crystalline KTe3N at its relaxed geometry. The functional is GGA-PBE.

Geometry as CIF:
```
data_KTe3N
_space_group_name_H-M_alt 'P m -3 m'
_space_group_IT_number 221
_space_group_name_Hall '-P 4 2 3'
_cell_length_a 4.9544
_cell_length_b 4.9544
_cell_length_c 4.9544
_cell_angle_alpha 90.00
_cell_angle_beta 90.00
_cell_angle_gamma 90.00
loop_
_atom_site_label
_atom_site_type_symbol
_atom_site_fract_x
_atom_site_fract_y
_atom_site_fract_z
K1 K 0.0000 0.0000 0.0000
Te1 Te 0.0000 0.5000 0.5000
N1 N 0.5000 0.5000 0.5000
```

Output
The value obtained for the energy above the most stable polymorph in this dataset is 0 meV per atom.

=====

Entry 10:
This record from Alexandria describes crystalline KTeN at its relaxed geometry. The functional is GGA-PBE.

Geometry as CIF:
```
data_KTeN
_space_group_name_H-M_alt 'C 1 2/m 1'
_space_group_IT_number 12
_space_group_name_Hall '-C 2y'
_cell_length_a 27.0267
_cell_length_b 6.1930
_cell_length_c 3.2601
_cell_angle_alpha 90.00
_cell_angle_beta 91.12
_cell_angle_gamma 90.00
loop_
_atom_site_label
_atom_site_type_symbol
_atom_site_fract_x
_atom_site_fract_y
_atom_site_fract_z
K1 K 0.1982 0.0000 0.4916
Te1 Te 0.1802 0.5000 0.9890
N1 N 0.0205 0.5000 0.4886
```

Output
The value obtained for the energy above the most stable polymorph in this dataset is 31 meV per atom.

=====

Entry 11:
This record from Alexandria describes crystalline KTeN3 at its relaxed geometry. The functional is GGA-PBE.

Geometry as CIF:
```
data_KTeN3
_space_group_name_H-M_alt 'P m -3 m'
_space_group_IT_number 221
_space_group_name_Hall '-P 4 2 3'
_cell_length_a 4.0867
_cell_length_b 4.0867
_cell_length_c 4.0867
_cell_angle_alpha 90.00
_cell_angle_beta 90.00
_cell_angle_gamma 90.00
loop_
_atom_site_label
_atom_site_type_symbol
_atom_site_fract_x
_atom_site_fract_y
_atom_site_fract_z
K1 K 0.0000 0.0000 0.0000
Te1 Te 0.5000 0.5000 0.5000
N1 N 0.0000 0.5000 0.5000
```

=====

Entry 12:
This record from Alexandria describes crystalline K5Te2N4 at its relaxed geometry. The functional is GGA-PBE.

Geometry as CIF:
```
data_K5Te2N4
_space_group_name_H-M_alt 'P -1'
_space_group_IT_number 2
_space_group_name_Hall '-P 1'
_cell_length_a 5.2799
_cell_length_b 6.5999
_cell_length_c 13.4659
_cell_angle_alpha 99.49
_cell_angle_beta 93.78
_cell_angle_gamma 91.33
loop_
_atom_site_label
_atom_site_type_symbol
_atom_site_fract_x
_atom_site_fract_y
_atom_site_fract_z
K1 K 0.0000 0.0000 0.0000
K2 K 0.0654 0.1743 0.3449
K3 K 0.4715 0.6174 0.2108
Te1 Te 0.4582 0.8900 0.8156
N1 N 0.0237 0.6850 0.4460
N2 N 0.1053 0.6605 0.3680
```

=====

Asked for energy relative to the elements, uncorrected across the records above, the calculation gives 446.4 -569.7 2362.0 1753.8 -46.3 -456.7 -624.6 -210.5 338.4 -425.3 1334.4 -515.0 meV per atom in order.
Asked for volume across the records above, the calculation gives 33.99 39.11 52.52 45.98 32.82 32.77 43.75 21.94 24.32 45.46 13.65 41.96 Å³/atom in order.